Entry 1:
AlFe2Se | meta-GGA SCAN | single point on PBEsol structure

uncorrected formation energy = 0.19 eV/atom
volume = 153 Å³/cell
energy above the most stable polymorph in this dataset = 2.26 kcal/mol of atoms
raw total energy = -15.835 eV/atom

abc: 2.8226 2.8226 22.1907
angles: 90.00 90.00 120.00
With the nearest neighbours (Å) after each atom.
Space group R-3m (No. 166, hexagonal axes)
Inequivalent atoms, fractional coordinates:
Al (0.0000, 0.0000, 0.0000) [3 per cell]  6 Fe 2.55, 6 Al 2.82
Fe (0.0000, 0.0000, 0.2451) [6 per cell]  3 Se 2.38, 3 Al 2.55
Se (0.0000, 0.0000, 0.5000) [3 per cell]  6 Fe 2.38

***

Entry 2:
AlFe2Se | meta-GGA SCAN | single point on PBEsol structure

uncorrected formation energy = 0.09 eV/atom
volume = 53 Å³/cell
energy above the most stable polymorph in this dataset = 0.00 kcal/mol of atoms
raw total energy = -15.933 eV/atom

abc: 3.2595 3.8039 4.2562
angles: 90.00 90.00 90.00
With the nearest neighbours (Å) after each atom.
Space group Pmmm (No. 47)
Inequivalent atoms, fractional coordinates:
Al (0.0000, 0.0000, 0.0000) [1 per cell]  4 Fe 2.50, 4 Se 2.68
Fe (0.0000, 0.5000, 0.5000) [1 per cell]  4 Se 2.50, 4 Fe 2.68
Fe (0.5000, 0.5000, 0.0000) [1 per cell]  4 Al 2.50, 4 Fe 2.68
Se (0.5000, 0.0000, 0.5000) [1 per cell]  4 Fe 2.50, 4 Al 2.68

***

Entry 3:
Al2FeSe | meta-GGA SCAN | single point on PBEsol structure

uncorrected formation energy = 0.04 eV/atom
volume = 117 Å³/cell
raw total energy = -13.383 eV/atom

abc: 5.2040 7.3287 3.0789
angles: 90.00 90.00 90.00
With the nearest neighbours (Å) after each atom.
Space group Cmmm (No. 65)
Inequivalent atoms, fractional coordinates:
Al (0.2500, 0.2500, 0.0000) [4 per cell]  2 Al 2.60, 4 Se 2.72, 4 Fe 2.72
Fe (0.0000, 0.0000, 0.5000) [2 per cell]  2 Se 2.60, 8 Al 2.72
Se (0.0000, 0.5000, 0.5000) [2 per cell]  2 Fe 2.60, 8 Al 2.72

***

Entry 4:
AlFe2Se | meta-GGA SCAN | single point on PBEsol structure

uncorrected formation energy = 0.19 eV/atom
volume = 106 Å³/cell
energy above the most stable polymorph in this dataset = 2.33 kcal/mol of atoms
raw total energy = -15.832 eV/atom

abc: 3.7457 3.7457 7.5578
angles: 90.00 90.00 90.00
With the nearest neighbours (Å) after each atom.
Space group I4/mmm (No. 139)
Inequivalent atoms, fractional coordinates:
Al (0.0000, 0.0000, 0.0000) [2 per cell]  4 Se 2.65, 8 Fe 2.66
Fe (0.0000, 0.5000, 0.2500) [4 per cell]  4 Fe 2.65, 4 Se 2.66, 4 Al 2.66
Se (0.0000, 0.0000, 0.5000) [2 per cell]  4 Al 2.65, 8 Fe 2.66